[1]
The following is a PBE calculation of crystalline Pm2Nd3Ir2 at its relaxed geometry, from the Alexandria database.

Calculated values
* crystal system: monoclinic

Structure (CIF):
```
data_Pm2Nd3Ir2
_cell_length_a 12.4486
_cell_length_b 3.9568
_cell_length_c 9.1642
_cell_angle_alpha 90.00
_cell_angle_beta 115.86
_cell_angle_gamma 90.00
_space_group_name_H-M_alt 'C 1 2/m 1'
_space_group_IT_number 12
_space_group_name_Hall '-C 2y'
loop_
_atom_site_label
_atom_site_fract_x
_atom_site_fract_y
_atom_site_fract_z
Pm1 0.1708 0.0000 0.3100
Nd1 0.0000 0.5000 0.5000
Nd2 0.1167 0.5000 0.9269
Ir1 0.1810 0.0000 0.7417
```

[2]
The following is a PBE calculation of crystalline PmNd3Ir8 at its relaxed geometry, from the Alexandria database.

Calculated values
* crystal system: trigonal

Structure (CIF):
```
data_PmNd3Ir8
_cell_length_a 5.4387
_cell_length_b 5.4387
_cell_length_c 26.6174
_cell_angle_alpha 90.00
_cell_angle_beta 90.00
_cell_angle_gamma 120.00
_space_group_name_H-M_alt 'R 3 m'
_space_group_IT_number 160
_space_group_name_Hall 'R 3 -2"'
loop_
_atom_site_label
_atom_site_fract_x
_atom_site_fract_y
_atom_site_fract_z
Pm1 0.0000 0.0000 0.0000
Nd1 0.0000 0.0000 0.3749
Nd2 0.0000 0.0000 0.4999
Nd3 0.0000 0.0000 0.8751
Ir1 0.0000 0.0000 0.1875
Ir2 0.0000 0.0000 0.6875
Ir3 0.9998 0.4999 0.4373
Ir4 0.0001 0.5001 0.9377
```

[3]
The following is a PBE calculation of crystalline PmNd2Ir at its relaxed geometry, from the Alexandria database.

Calculated values
* crystal system: trigonal
* energy relative to the lowest polymorph listed for this composition: 384 meV per atom

Structure (CIF):
```
data_PmNd2Ir
_cell_length_a 3.8807
_cell_length_b 3.8807
_cell_length_c 32.2078
_cell_angle_alpha 90.00
_cell_angle_beta 90.00
_cell_angle_gamma 120.00
_space_group_name_H-M_alt 'R -3 m'
_space_group_IT_number 166
_space_group_name_Hall '-R 3 2"'
loop_
_atom_site_label
_atom_site_fract_x
_atom_site_fract_y
_atom_site_fract_z
Pm1 0.0000 0.0000 0.0000
Nd1 0.0000 0.0000 0.1135
Ir1 0.0000 0.0000 0.5000
```

[4]
The following is a PBE calculation of crystalline PmNd3Ir at its relaxed geometry, from the Alexandria database.

Calculated values
* crystal system: cubic
* energy relative to the lowest polymorph listed for this composition: 112 meV per atom

Structure (CIF):
```
data_PmNd3Ir
_cell_length_a 5.6286
_cell_length_b 5.6286
_cell_length_c 5.6286
_cell_angle_alpha 90.00
_cell_angle_beta 90.00
_cell_angle_gamma 90.00
_space_group_name_H-M_alt 'P m -3 m'
_space_group_IT_number 221
_space_group_name_Hall '-P 4 2 3'
loop_
_atom_site_label
_atom_site_fract_x
_atom_site_fract_y
_atom_site_fract_z
Pm1 0.0000 0.0000 0.0000
Nd1 0.0000 0.5000 0.5000
Ir1 0.5000 0.5000 0.5000
```

[5]
The following is a PBE calculation of crystalline Pm2Nd2Ir at its relaxed geometry, from the Alexandria database.

Calculated values
* crystal system: monoclinic

Structure (CIF):
```
data_Pm2Nd2Ir
_cell_length_a 7.6108
_cell_length_b 12.1928
_cell_length_c 7.5554
_cell_angle_alpha 90.00
_cell_angle_beta 114.26
_cell_angle_gamma 90.00
_space_group_name_H-M_alt 'C 1 2/m 1'
_space_group_IT_number 12
_space_group_name_Hall '-C 2y'
loop_
_atom_site_label
_atom_site_fract_x
_atom_site_fract_y
_atom_site_fract_z
Pm1 0.0575 0.2228 0.2557
Nd1 0.2260 0.5000 0.8988
Nd2 0.2439 0.0000 0.6042
Ir1 0.0000 0.3726 0.5000
```

[6]
The following is a PBE calculation of crystalline PmNd2Ir at its relaxed geometry, from the Alexandria database.

Calculated values
* crystal system: orthorhombic
* energy relative to the lowest polymorph listed for this composition: 0 meV per atom

Structure (CIF):
```
data_PmNd2Ir
_cell_length_a 7.3780
_cell_length_b 9.8823
_cell_length_c 6.5240
_cell_angle_alpha 90.00
_cell_angle_beta 90.00
_cell_angle_gamma 90.00
_space_group_name_H-M_alt 'P n m a'
_space_group_IT_number 62
_space_group_name_Hall '-P 2ac 2n'
loop_
_atom_site_label
_atom_site_fract_x
_atom_site_fract_y
_atom_site_fract_z
Pm1 0.0362 0.2500 0.1448
Nd1 0.1757 0.0659 0.6717
Ir1 0.1202 0.7500 0.4420
```

| no. | formation energy (meV/atom) |
| --- | --- |
| 1 | -493 |
| 2 | -703 |
| 3 | -69 |
| 4 | -146 |
| 5 | -274 |
| 6 | -454 |